# Ca2DyUAs4 | the Alexandria database | PBE | optimized geometry
data_Ca2DyUAs4
_cell_length_a 7.188
_cell_length_b 4.186
_cell_length_c 7.243
_cell_angle_alpha 90.00
_cell_angle_beta 109.19
_cell_angle_gamma 90.00
_space_group_name_H-M_alt 'P 1 2/m 1'
_space_group_IT_number 10
loop_
_space_group_symop_operation_xyz
'x,y,z'
'-x,-y,-z'
'-x,y,-z'
'x,-y,z'
loop_
_atom_site_label
_atom_site_type_symbol
_atom_site_fract_x
_atom_site_fract_y
_atom_site_fract_z
Ca1 Ca 0.000 0.000 0.000
Ca2 Ca 0.500 0.500 0.000
Dy1 Dy 0.000 0.500 0.500
U1 U 0.500 0.000 0.500
As1 As 0.254 0.000 0.732
As2 As 0.264 0.500 0.271
# energy relative to the elements: -1.156 eV per atom
# theoretical density: 6.30 g/cm3
# total DFT energy (no corrections): -47.74 eV/cell


# CaDyU2As4 | the Alexandria database | PBE | optimized geometry
data_CaDyU2As4
_cell_length_a 7.111
_cell_length_b 4.097
_cell_length_c 7.230
_cell_angle_alpha 90.00
_cell_angle_beta 109.08
_cell_angle_gamma 90.00
_space_group_name_H-M_alt 'P 1 2/m 1'
_space_group_IT_number 10
loop_
_space_group_symop_operation_xyz
'x,y,z'
'-x,-y,-z'
'-x,y,-z'
'x,-y,z'
loop_
_atom_site_label
_atom_site_type_symbol
_atom_site_fract_x
_atom_site_fract_y
_atom_site_fract_z
Ca1 Ca 0.000 0.000 0.000
Dy1 Dy 0.500 0.500 0.000
U1 U 0.000 0.500 0.500
U2 U 0.500 0.000 0.500
As1 As 0.252 0.000 0.745
As2 As 0.257 0.500 0.261
# energy relative to the elements: -1.050 eV per atom
# theoretical density: 8.16 g/cm3
# total DFT energy (no corrections): -56.17 eV/cell


# CaDy2YAs4 | the Alexandria database | PBE | optimized geometry
data_CaDy2YAs4
_cell_length_a 7.198
_cell_length_b 4.135
_cell_length_c 7.199
_cell_angle_alpha 90.00
_cell_angle_beta 109.30
_cell_angle_gamma 90.00
_space_group_name_H-M_alt 'P 1 2/m 1'
_space_group_IT_number 10
loop_
_space_group_symop_operation_xyz
'x,y,z'
'-x,-y,-z'
'-x,y,-z'
'x,-y,z'
loop_
_atom_site_label
_atom_site_type_symbol
_atom_site_fract_x
_atom_site_fract_y
_atom_site_fract_z
Ca1 Ca 0.000 0.000 0.000
Dy1 Dy 0.000 0.500 0.500
Dy2 Dy 0.500 0.000 0.500
Y1 Y 0.500 0.500 0.000
As1 As 0.252 0.000 0.747
As2 As 0.257 0.500 0.257
# energy relative to the elements: -1.376 eV per atom
# theoretical density: 6.19 g/cm3
# total DFT energy (no corrections): -47.28 eV/cell


# Ca3Dy2ZrAs6 | the Alexandria database | PBE | optimized geometry
data_Ca3Dy2ZrAs6
_cell_length_a 7.098
_cell_length_b 12.288
_cell_length_c 7.282
_cell_angle_alpha 90.00
_cell_angle_beta 108.95
_cell_angle_gamma 90.00
_space_group_name_H-M_alt 'C 1 2/m 1'
_space_group_IT_number 12
loop_
_space_group_symop_operation_xyz
'x,y,z'
'-x,-y,-z'
'-x,y,-z'
'x,-y,z'
'x+1/2,y+1/2,z'
'-x+1/2,-y+1/2,-z'
'-x+1/2,y+1/2,-z'
'x+1/2,-y+1/2,z'
loop_
_atom_site_label
_atom_site_type_symbol
_atom_site_fract_x
_atom_site_fract_y
_atom_site_fract_z
Ca1 Ca 0.000 0.000 0.000
Ca2 Ca 0.000 0.330 0.000
Dy1 Dy 0.000 0.166 0.500
Zr1 Zr 0.000 0.500 0.500
As1 As 0.238 0.339 0.732
As2 As 0.243 0.500 0.267
# energy relative to the elements: -1.200 eV per atom
# theoretical density: 5.45 g/cm3
# total DFT energy (no corrections): -132.11 eV/cell